1.
Ni2SnAs: optimized geometry, PBE.

The structure in POSCAR format:
```
Ni2SnAs
1.0
1.922 1.109 5.110
-1.922 1.109 5.110
0.000 -2.219 5.110
Ni Sn As
2 1 1
Direct
0.000 0.000 0.000
0.198 0.198 0.198
0.427 0.427 0.427
0.607 0.607 0.607
```

The calculation puts the density at 7.9 g/cm3. The calculation puts the calculated total energy at -5.118 eV per atom.

=====

2.
NiSnAs2: optimized geometry, PBE.

The structure in POSCAR format:
```
NiSnAs2
1.0
1.918 1.107 7.788
-1.918 1.107 7.788
0.000 -2.215 7.788
Ni Sn As
1 1 2
Direct
0.000 0.000 0.000
0.500 0.500 0.500
0.095 0.095 0.095
0.905 0.905 0.905
```

The calculation puts the density at 5.5 g/cm3. The calculation puts the calculated total energy at -4.318 eV per atom.

=====

3.
Ni3Sn2As2: optimized geometry, PBE.

The structure in POSCAR format:
```
Ni3Sn2As2
1.0
2.679 1.547 4.744
-2.679 1.547 4.744
0.000 -3.094 4.744
Ni Sn As
3 2 2
Direct
0.000 0.500 0.500
0.500 0.000 0.500
0.500 0.500 0.000
0.000 0.000 0.000
0.500 0.500 0.500
0.209 0.209 0.209
0.791 0.791 0.791
```

The calculation puts the density at 7.9 g/cm3. The value obtained for the excess energy over the best structure of this formula in the dataset is 0.000 eV/atom.

=====

4.
NiSn3As: optimized geometry, PBE.

The structure in POSCAR format:
```
NiSn3As
1.0
5.065 -4.321 0.000
5.065 4.321 0.000
-3.761 0.000 5.168
Ni Sn As
2 6 2
Direct
0.232 0.232 0.121
0.768 0.768 0.879
0.007 0.410 0.732
0.410 0.007 0.732
0.457 0.457 0.699
0.543 0.543 0.301
0.590 0.993 0.268
0.993 0.590 0.268
0.047 0.047 0.251
0.953 0.953 0.749
```

The calculation puts the density at 7.2 g/cm3. The value obtained for the excess energy over the best structure of this formula in the dataset is 0.000 eV/atom.

=====

5.
Ni2SnAs: optimized geometry, PBE.

The structure in POSCAR format:
```
Ni2SnAs
1.0
7.472 0.000 0.000
0.000 6.646 0.000
0.000 0.000 5.110
Ni Sn As
8 4 4
Direct
0.099 0.250 0.000
0.099 0.250 0.500
0.343 0.750 0.000
0.343 0.750 0.500
0.657 0.250 0.000
0.657 0.250 0.500
0.901 0.750 0.000
0.901 0.750 0.500
0.379 0.092 0.250
0.379 0.408 0.750
0.621 0.592 0.250
0.621 0.908 0.750
0.125 0.566 0.250
0.125 0.934 0.750
0.875 0.066 0.250
0.875 0.434 0.750
```

The calculation puts the density at 8.1 g/cm3. The calculation puts the calculated total energy at -5.340 eV per atom.

=====

6.
NiSn2As: optimized geometry, PBE.

The structure in POSCAR format:
```
NiSn2As
1.0
-3.012 3.012 5.991
3.012 -3.012 5.991
3.012 3.012 -5.991
Ni Sn As
2 4 2
Direct
0.000 0.000 0.000
0.750 0.250 0.500
0.089 0.625 0.964
0.375 0.339 0.464
0.661 0.125 0.036
0.875 0.911 0.536
0.250 0.750 0.500
0.500 0.500 0.000
```

The calculation puts the density at 5.7 g/cm3. The calculation puts the calculated total energy at -4.494 eV per atom.

=====

7.
Ni7SnAs2: optimized geometry, PBE.

The structure in POSCAR format:
```
Ni7SnAs2
1.0
-1.906 1.906 9.207
1.906 -1.906 9.207
1.906 1.906 -9.207
Ni Sn As
7 1 2
Direct
0.000 0.000 0.000
0.100 0.600 0.500
0.250 0.750 0.500
0.400 0.900 0.500
0.600 0.100 0.500
0.750 0.250 0.500
0.900 0.400 0.500
0.500 0.500 0.000
0.173 0.173 0.000
0.827 0.827 0.000
```

The calculation puts the density at 8.4 g/cm3. The calculation puts the calculated total energy at -5.592 eV per atom.

=====

8.
Ni2SnAs2: optimized geometry, PBE.

The structure in POSCAR format:
```
Ni2SnAs2
1.0
7.401 0.000 0.000
0.000 7.401 0.000
0.000 0.000 3.014
Ni Sn As
4 2 4
Direct
0.126 0.374 0.000
0.374 0.874 0.000
0.626 0.126 0.000
0.874 0.626 0.000
0.000 0.000 0.000
0.500 0.500 0.000
0.146 0.646 0.500
0.354 0.146 0.500
0.646 0.854 0.500
0.854 0.354 0.500
```

The calculation puts the density at 7.8 g/cm3. The calculation puts the calculated total energy at -4.958 eV per atom.

=====

9.
Ni2SnAs: optimized geometry, PBE.

The structure in POSCAR format:
```
Ni2SnAs
1.0
-2.150 2.150 7.623
2.150 -2.150 7.623
2.150 2.150 -7.623
Ni Sn As
4 2 2
Direct
0.053 0.625 0.928
0.375 0.303 0.428
0.697 0.125 0.072
0.875 0.947 0.572
0.250 0.750 0.500
0.500 0.500 0.000
0.000 0.000 0.000
0.750 0.250 0.500
```

The calculation puts the density at 7.3 g/cm3. The calculation puts the calculated total energy at -5.085 eV per atom.

=====

10.
Ni2Sn2As: optimized geometry, PBE.

The structure in POSCAR format:
```
Ni2Sn2As
1.0
7.349 0.000 0.000
0.000 7.349 0.000
0.000 0.000 3.235
Ni Sn As
4 4 2
Direct
0.129 0.371 0.000
0.371 0.871 0.000
0.629 0.129 0.000
0.871 0.629 0.000
0.165 0.665 0.500
0.335 0.165 0.500
0.665 0.835 0.500
0.835 0.335 0.500
0.000 0.000 0.000
0.500 0.500 0.000
```

The calculation puts the density at 8.2 g/cm3. The calculation puts the calculated total energy at -4.807 eV per atom.

=====

11.
Ni2SnAs: optimized geometry, PBE.

The structure in POSCAR format:
```
Ni2SnAs
1.0
0.000 3.127 3.127
3.127 0.000 3.127
3.127 3.127 0.000
Ni Sn As
2 1 1
Direct
0.250 0.250 0.250
0.750 0.750 0.750
0.000 0.000 0.000
0.500 0.500 0.500
```

The calculation puts the density at 8.4 g/cm3. The calculation puts the calculated total energy at -5.007 eV per atom.

=====

12.
NiSnAs3: optimized geometry, PBE.

The structure in POSCAR format:
```
NiSnAs3
1.0
4.712 0.000 0.000
0.000 4.712 0.000
0.000 0.000 4.712
Ni Sn As
1 1 3
Direct
0.000 0.000 0.000
0.500 0.500 0.500
0.000 0.000 0.500
0.000 0.500 0.000
0.500 0.000 0.000
```

The calculation puts the density at 6.4 g/cm3. The value obtained for the excess energy over the best structure of this formula in the dataset is 0.000 eV/atom.

=====

> Number 1 is which compound?

Ni2SnAs

=====

> Number 10 is which compound?

Ni2Sn2As